VASP calculation (PBEsol) on crystalline Na2CoP2O7 at its relaxed geometry.

## Properties
**N(E_F)**: 0.092 states/eV per atom
**Formation energy without anion corrections**: -1.955 eV per atom
**Magnetization**: 6.012 Bohr magnetons per cell
**Distance to the lowest polymorph of the same formula**: 0.022 eV per atom

POSCAR file:
```
Na2CoP2O7
1.0
-3.3800 3.6528 3.0194
-2.3053 -0.5602 -7.5139
-2.5811 -6.1396 4.5381
Co Na P O
2 4 4 14
direct
0.0000 0.0000 0.0000 Co
0.0000 0.0000 0.5000 Co
0.3714 0.4592 0.8003 Na
0.6286 0.5408 0.1997 Na
0.9122 0.5408 0.6997 Na
0.0878 0.4592 0.3003 Na
0.5540 0.7877 0.6551 P
0.4460 0.2123 0.3449 P
0.2337 0.7877 0.1551 P
0.7663 0.2123 0.8449 P
0.8895 0.2051 0.0100 O
0.2953 0.6222 0.6015 O
0.9429 0.2209 0.7018 O
0.4760 0.0000 0.2500 O
0.5240 0.0000 0.7500 O
0.0571 0.7791 0.2982 O
0.6844 0.7949 0.4900 O
0.3269 0.6222 0.1015 O
0.7047 0.3778 0.3985 O
0.6731 0.3778 0.8985 O
0.7220 0.7791 0.7982 O
0.2780 0.2209 0.2018 O
0.1105 0.7949 0.9900 O
0.3156 0.2051 0.5100 O
```